## Zr2CuIr (meta-GGA SCAN)

Data for Zr2CuIr at its PBEsol-relaxed geometry.

Unit cell a=3.364 b=4.175 c=5.312 alpha=90.00 beta=108.60 gamma=90.00
Atoms (fractional coordinates):
Cu1 0.290 0.000 0.455
Zr1 0.734 0.500 0.345
Ir1 0.459 0.500 0.792
Zr2 0.017 0.000 0.908

Summary:
Magnetic moment (μB per cell): 0.00
ΔH_f (0 K) (eV/atom): -0.712